DFT (PBE-GGA) results for crystalline CsZrNi2Br at its relaxed geometry.

Unit cell a=4.8084 b=4.8084 c=5.0754 alpha=90.00 beta=90.00 gamma=90.00
Last column: nearest neighbours and their distance in Å.
Sites, in units of the cell vectors:
Cs  0.0000  0.0000  0.0000  4 Zr 3.40, 8 Ni 3.50
Zr  0.5000  0.5000  0.0000  2 Br 2.54
Ni  0.0000  0.5000  0.5000  2 Br 2.40
Ni  0.5000  0.0000  0.5000  2 Br 2.40
Br  0.5000  0.5000  0.5000  4 Ni 2.40, 2 Zr 2.54

Calculated values
D(E_F) (states/eV/atom): 0.718
Theoretical density (kg/m3): 5963
Space group: P4/mmm
Raw formation energy (kJ/mol of formula units): 468

=====

DFT (PBE-GGA) results for crystalline Cs2NpBr6 at its relaxed geometry.

Unit cell a=8.0663 b=8.0663 c=8.0663 alpha=60.00 beta=60.00 gamma=60.00
Last column: nearest neighbours and their distance in Å.
Sites, in units of the cell vectors:
Cs  0.2500  0.2500  0.2500  12 Br 4.03
Cs  0.7500  0.7500  0.7500  12 Br 4.03
Np  0.0000  0.0000  0.0000  6 Br 2.78
Br  0.2433  0.2433  0.7567  1 Np 2.78
Br  0.2433  0.7567  0.2433  1 Np 2.78
Br  0.2433  0.7567  0.7567  1 Np 2.78
Br  0.7567  0.2433  0.2433  1 Np 2.78
Br  0.7567  0.2433  0.7567  1 Np 2.78
Br  0.7567  0.7567  0.2433  1 Np 2.78

Calculated values
D(E_F) (states/eV/atom): 0.566
Theoretical density (kg/m3): 4395
Space group: Fm-3m
Raw formation energy (kJ/mol of formula units): -1368

=====

DFT (PBE-GGA) results for crystalline Cs4NpBr6 at its relaxed geometry.

Unit cell a=10.0414 b=10.0414 c=10.5076 alpha=90.00 beta=90.00 gamma=90.00
Last column: nearest neighbours and their distance in Å.
Sites, in units of the cell vectors:
Cs  0.1734  0.3266  0.2500  6 Br 3.73-3.74
Cs  0.1734  0.3266  0.7500  6 Br 3.73-3.74
Cs  0.3266  0.8266  0.2500  6 Br 3.73-3.74
Cs  0.3266  0.8266  0.7500  6 Br 3.73-3.74
Cs  0.6734  0.1734  0.2500  6 Br 3.73-3.74
Cs  0.6734  0.1734  0.7500  6 Br 3.73-3.74
Cs  0.8266  0.6734  0.2500  6 Br 3.73-3.74
Cs  0.8266  0.6734  0.7500  6 Br 3.73-3.74
Np  0.0000  0.0000  0.0000  6 Br 2.97-3.04
Np  0.5000  0.5000  0.5000  6 Br 2.97-3.04
Br  0.0000  0.0000  0.2830  1 Np 2.97
Br  0.0000  0.0000  0.7170  1 Np 2.97
Br  0.0893  0.7112  0.0000  1 Np 3.04
Br  0.2112  0.5893  0.5000  1 Np 3.04
Br  0.2888  0.0893  0.0000  1 Np 3.04
Br  0.4107  0.2112  0.5000  1 Np 3.04
Br  0.5000  0.5000  0.2170  1 Np 2.97
Br  0.5000  0.5000  0.7830  1 Np 2.97
Br  0.5893  0.7888  0.5000  1 Np 3.04
Br  0.7112  0.9107  0.0000  1 Np 3.04
Br  0.7888  0.4107  0.5000  1 Np 3.04
Br  0.9107  0.2888  0.0000  1 Np 3.04

Calculated values
D(E_F) (states/eV/atom): 1.222
Theoretical density (kg/m3): 3912
Space group: P4/mnc
Raw formation energy (kJ/mol of formula units): -1623